1.
This record from Alexandria via LeMat-Bulk describes a relaxed TaCoRh2 crystal. The functional is PBEsol.

```
TaCoRh2
1.0
3.742 0.000 0.000
0.000 3.779 0.000
0.000 0.000 3.779
Rh Co Ta
2 1 1
direct
0.000 0.000 0.500
0.000 0.500 0.000
0.500 0.000 0.000
0.500 0.500 0.500
```

Properties
Volume, A^3/atom: 13.360
Calculated total energy, eV per atom: -9.62

=====

2.
This record from Alexandria via LeMat-Bulk describes a relaxed YCr2Ag crystal. The functional is PBEsol.

```
YCr2Ag
1.0
-3.922 -0.827 -2.382
-3.846 -1.381 2.247
-3.630 2.898 0.407
Ag Cr Y
1 2 1
direct
0.500 0.500 0.500
0.000 0.000 0.000
0.750 0.750 0.750
0.250 0.250 0.250
```

Properties
Energy above the lowest structure with this stoichiometry, meV per atom: 0
Volume, A^3/atom: 17.922
Calculated total energy, eV per atom: -7.25

=====

3.
This record from Alexandria via LeMat-Bulk describes a relaxed SrRePt2 crystal. The functional is PBEsol.

```
SrRePt2
1.0
-2.175 -1.519 -0.920
1.254 -3.496 2.806
-2.560 2.481 4.235
Pt Re Sr
2 1 1
direct
0.853 0.000 0.992
0.871 0.500 0.304
0.478 0.000 0.408
0.298 0.500 0.796
```

Properties
Energy above the lowest structure with this stoichiometry, meV per atom: 134
Volume, A^3/atom: 17.928
Calculated total energy, eV per atom: -7.18

=====

4.
This record from Alexandria via LeMat-Bulk describes a relaxed BaZnSnS4 crystal. The functional is PBEsol.

```
BaZnSnS4
1.0
-12.059 -2.327 -1.451
5.699 -4.238 10.124
0.758 12.564 0.912
Ba Zn Sn S
8 8 8 32
direct
0.751 0.249 0.997
0.252 0.754 0.003
0.499 0.501 0.497
0.004 0.002 0.503
0.750 0.750 0.000
0.000 0.500 0.500
0.253 0.253 0.000
0.503 0.003 0.500
0.410 0.267 0.749
0.911 0.267 0.751
0.517 0.160 0.249
0.517 0.661 0.251
0.486 0.763 0.749
0.014 0.737 0.251
0.013 0.236 0.249
0.987 0.764 0.751
0.846 0.986 0.750
0.762 0.489 0.749
0.264 0.490 0.751
0.739 0.512 0.249
0.237 0.096 0.250
0.346 0.987 0.750
0.236 0.596 0.250
0.740 0.014 0.251
0.462 0.212 0.914
0.298 0.548 0.086
0.462 0.212 0.414
0.798 0.048 0.586
0.959 0.708 0.414
0.294 0.546 0.586
0.958 0.709 0.914
0.796 0.044 0.086
0.557 0.468 0.748
0.720 0.809 0.252
0.718 0.307 0.248
0.059 0.470 0.752
0.530 0.964 0.748
0.216 0.782 0.252
0.214 0.280 0.248
0.032 0.966 0.752
0.683 0.778 0.748
0.030 0.935 0.252
0.028 0.433 0.248
0.185 0.780 0.752
0.726 0.282 0.748
0.534 0.978 0.252
0.532 0.476 0.248
0.228 0.284 0.752
0.460 0.713 0.914
0.799 0.546 0.086
0.963 0.210 0.414
0.796 0.549 0.586
0.296 0.046 0.585
0.460 0.710 0.415
0.296 0.046 0.085
0.960 0.210 0.915
```

Properties
Formation energy from raw total energies, meV/atom: -1046.6
Volume, A^3/atom: 26.181
Calculated total energy, eV per atom: -4.69

=====

5.
This record from Alexandria via LeMat-Bulk describes a relaxed SrSi2Ru crystal. The functional is PBEsol.

```
SrSi2Ru
1.0
-3.614 -0.695 -1.714
-0.022 -3.745 1.566
-1.944 1.475 3.500
Ru Si Sr
1 2 1
direct
0.000 0.000 0.500
0.000 0.500 0.000
0.500 0.000 0.000
0.500 0.500 0.500
```

Properties
Formation energy from raw total energies, meV/atom: 365.4
Volume, A^3/atom: 17.579
Calculated total energy, eV per atom: -5.51

=====

6.
This record from Alexandria via LeMat-Bulk describes a relaxed Zn2OsSe crystal. The functional is PBEsol.

```
Zn2OsSe
1.0
-0.155 -1.775 2.053
0.432 -1.011 -2.486
9.485 0.733 1.350
Os Se Zn
1 1 2
direct
0.500 0.500 0.500
0.500 0.500 0.000
0.000 0.000 0.275
0.000 0.000 0.725
```

Properties
Formation energy from raw total energies, meV/atom: 387.9
Volume, A^3/atom: 15.788
Calculated total energy, eV per atom: -4.42

=====

7.
This record from Alexandria via LeMat-Bulk describes a relaxed Mg8In crystal. The functional is PBEsol.

```
Mg8In
1.0
4.484 0.000 0.000
2.242 6.706 0.000
2.242 0.000 6.706
In Mg
1 8
direct
0.000 0.000 0.000
0.000 0.668 0.332
0.000 0.332 0.668
0.332 0.668 0.668
0.334 0.331 0.000
0.334 0.000 0.331
0.668 0.332 0.332
0.666 0.000 0.669
0.666 0.669 0.000
```

Properties
Volume, A^3/atom: 22.403
Calculated total energy, eV per atom: -1.90

=====

8.
This record from Alexandria via LeMat-Bulk describes a relaxed CrCoN2 crystal. The functional is PBEsol.

```
CrCoN2
1.0
-2.560 -0.017 -0.665
-1.776 -1.125 1.605
-2.201 4.779 3.094
Cr Co N
1 1 2
direct
0.500 0.500 0.500
0.000 0.000 0.000
0.900 0.900 0.301
0.100 0.100 0.699
```

Properties
Energy above the lowest structure with this stoichiometry, meV per atom: 294
Formation energy from raw total energies, meV/atom: -80.3
Volume, A^3/atom: 8.953
Calculated total energy, eV per atom: -8.84

=====

9.
This record from Alexandria via LeMat-Bulk describes a relaxed ScGaBi3 crystal. The functional is PBEsol.

```
ScGaBi3
1.0
5.520 0.000 0.000
0.000 5.520 0.000
0.000 0.000 5.520
Sc Bi Ga
1 3 1
direct
0.000 0.000 0.000
0.000 0.500 0.000
0.000 0.000 0.500
0.500 0.000 0.000
0.500 0.500 0.500
```

Properties
Volume, A^3/atom: 33.642
Calculated total energy, eV per atom: -4.32

=====

10.
This record from Alexandria via LeMat-Bulk describes a relaxed Zn2CdTe crystal. The functional is PBEsol.

```
Zn2CdTe
1.0
-3.061 -0.933 2.282
-2.140 -0.943 -3.256
1.769 -5.063 0.304
Cd Te Zn
1 1 2
direct
0.500 0.500 0.000
0.500 0.000 0.500
0.000 0.000 0.000
0.000 0.500 0.500
```

Properties
Energy above the lowest structure with this stoichiometry, meV per atom: 75
Formation energy from raw total energies, meV/atom: 149.8
Volume, A^3/atom: 21.161
Calculated total energy, eV per atom: -1.82

=====

11.
This record from Alexandria via LeMat-Bulk describes a relaxed HgPW2 crystal. The functional is PBEsol.

```
HgPW2
1.0
-2.984 0.200 -0.852
-1.319 -1.254 4.323
2.090 4.727 -0.535
Hg P W
1 1 2
direct
0.500 0.000 0.000
0.000 0.500 0.000
0.707 0.707 0.415
0.293 0.293 0.585
```

Properties
Energy above the lowest structure with this stoichiometry, meV per atom: 126
Volume, A^3/atom: 15.931
Calculated total energy, eV per atom: -8.04

=====

12.
This record from Alexandria via LeMat-Bulk describes a relaxed Zn3IrBr crystal. The functional is PBEsol.

```
Zn3IrBr
1.0
4.658 0.000 0.000
0.000 4.658 0.000
0.000 0.000 4.658
Zn Ir Br
3 1 1
direct
0.000 0.500 0.000
0.000 0.000 0.500
0.500 0.000 0.000
0.500 0.500 0.500
0.000 0.000 0.000
```

Properties
Formation energy from raw total energies, meV/atom: 1465.4
Volume, A^3/atom: 20.210
Calculated total energy, eV per atom: -1.82

=====

13.
This record from Alexandria via LeMat-Bulk describes a relaxed MnZn2Fe crystal. The functional is PBEsol.

```
MnZn2Fe
1.0
2.626 0.000 0.029
0.000 4.188 0.000
-0.044 0.000 4.460
Zn Mn Fe
2 1 1
direct
0.875 0.000 0.957
0.876 0.500 0.294
0.377 0.500 0.785
0.373 0.000 0.465
```

Properties
Energy above the lowest structure with this stoichiometry, meV per atom: 71
Volume, A^3/atom: 12.266
Calculated total energy, eV per atom: -5.39

=====

14.
This record from Alexandria via LeMat-Bulk describes a relaxed NdRhO3 crystal. The functional is PBEsol.

```
NdRhO3
1.0
-4.358 -2.103 2.137
3.140 -4.495 1.980
1.363 3.841 6.558
Nd Rh O
4 4 12
direct
0.472 0.580 0.750
0.972 0.920 0.250
0.028 0.080 0.750
0.528 0.420 0.250
0.500 0.000 0.500
0.000 0.500 0.500
0.000 0.500 0.000
0.500 0.000 0.000
0.818 0.196 0.448
0.318 0.304 0.552
0.682 0.696 0.052
0.182 0.804 0.948
0.182 0.804 0.552
0.682 0.696 0.448
0.318 0.304 0.948
0.818 0.196 0.052
0.389 0.034 0.250
0.889 0.466 0.750
0.111 0.534 0.250
0.611 0.966 0.750
```

Properties
Formation energy from raw total energies, meV/atom: -2144.3
Volume, A^3/atom: 11.905
Calculated total energy, eV per atom: -7.95

=====

15.
This record from Alexandria via LeMat-Bulk describes a relaxed AgAu crystal. The functional is PBEsol.

```
AgAu
1.0
5.172 0.000 0.000
0.000 5.172 0.000
0.000 0.000 5.172
Au Ag
4 4
direct
0.097 0.097 0.097
0.403 0.903 0.597
0.903 0.597 0.403
0.597 0.403 0.903
0.405 0.405 0.405
0.095 0.595 0.905
0.595 0.905 0.095
0.905 0.095 0.595
```

Properties
Volume, A^3/atom: 17.297
Calculated total energy, eV per atom: -3.56

=====

16.
This record from Alexandria via LeMat-Bulk describes a relaxed LiTlIn crystal. The functional is PBEsol.

```
LiTlIn
1.0
-1.534 2.826 1.064
-1.349 -1.778 2.548
6.068 0.734 1.521
Tl In Li
1 1 1
direct
0.678 0.678 0.355
0.988 0.988 0.976
0.335 0.335 0.669
```

Properties
Energy above the lowest structure with this stoichiometry, meV per atom: 0
Volume, A^3/atom: 22.314
Calculated total energy, eV per atom: -2.70

=====

17.
This record from Alexandria via LeMat-Bulk describes a relaxed Hg2POs crystal. The functional is PBEsol.

```
Hg2POs
1.0
3.005 0.026 0.000
-0.396 4.414 0.000
0.000 0.000 5.334
Hg Os P
2 1 1
direct
0.249 0.249 0.000
0.751 0.751 0.000
0.000 0.000 0.500
0.500 0.500 0.500
```

Properties
Volume, A^3/atom: 17.705
Calculated total energy, eV per atom: -3.97

=====

18.
This record from Alexandria via LeMat-Bulk describes a relaxed Ir3Se crystal. The functional is PBEsol.

```
Ir3Se
1.0
4.454 0.000 0.000
0.000 5.264 -0.002
0.000 -0.708 5.216
Ir Se
6 2
direct
0.750 0.215 0.785
0.250 0.785 0.215
0.750 0.721 0.887
0.250 0.279 0.113
0.250 0.887 0.721
0.750 0.113 0.279
0.750 0.644 0.356
0.250 0.356 0.644
```

Properties
Energy above the lowest structure with this stoichiometry, meV per atom: 103
Formation energy from raw total energies, meV/atom: 415.3
Volume, A^3/atom: 15.283
Calculated total energy, eV per atom: -7.91

=====

19.
This record from Alexandria via LeMat-Bulk describes a relaxed Na2CoO3 crystal. The functional is PBEsol.

```
Na2CoO3
1.0
4.921 -0.058 0.000
0.037 6.249 0.000
-0.018 -3.125 5.357
Na Co O
4 2 6
direct
0.489 0.169 0.680
0.987 0.510 0.674
0.489 0.489 0.320
0.987 0.836 0.326
0.948 0.164 0.000
0.455 0.824 0.000
0.009 0.172 0.735
0.505 0.552 0.715
0.009 0.437 0.265
0.505 0.838 0.285
0.604 0.095 0.000
0.098 0.912 0.000
```

Properties
Energy above the lowest structure with this stoichiometry, meV per atom: 83
Formation energy from raw total energies, meV/atom: -1206.0
Volume, A^3/atom: 13.730
Calculated total energy, eV per atom: -5.59

=====

20.
This record from Alexandria via LeMat-Bulk describes a relaxed ZnNi3 crystal. The functional is PBEsol.

```
ZnNi3
1.0
-2.201 -3.548 -1.116
2.239 0.001 -4.420
5.943 -4.633 3.010
Ni Zn
12 4
direct
0.582 0.123 0.750
0.245 0.628 0.001
0.245 0.628 0.499
0.255 0.128 0.501
0.255 0.128 0.999
0.918 0.623 0.250
0.082 0.377 0.750
0.745 0.872 0.001
0.745 0.872 0.499
0.755 0.372 0.501
0.755 0.372 0.999
0.418 0.877 0.250
0.421 0.384 0.250
0.079 0.884 0.750
0.921 0.116 0.250
0.579 0.616 0.750
```

Properties
Volume, A^3/atom: 10.860
Calculated total energy, eV per atom: -5.13